# SbMoPt2

A relaxed structure of SbMoPt2 (GGA-PBE, Alexandria via LeMat-Bulk).

Lattice parameters (Å, degrees): 3.9563 3.9563 4.3449 90.00 90.00 90.00
With the nearest neighbours (Å) after each atom.
Space group P4/mmm (No. 123)
Unique sites:
Sb 0.0000 0.0000 0.0000 [1 per cell]  4 Mo 2.80, 8 Pt 2.94
Mo 0.5000 0.5000 0.0000 [1 per cell]  4 Sb 2.80, 8 Pt 2.94
Pt 0.0000 0.5000 0.5000 [2 per cell]  4 Pt 2.80, 4 Mo 2.94, 4 Sb 2.94

Results
**Magnetic moment**: 1.05 μB per formula unit
**Raw formation energy**: -0.036 eV per atom
**D(E_F)**: 2.034 states/eV/cell